The following is a DFT calculation (GGA+U) of VI2BrO after structural relaxation. Values from VASP.

Computed properties:
Total magnetic moment (μB/f.u.): 1.38
Excess energy over the best structure of this formula in the dataset (meV per atom): 1325.2
Calculated volume (A^3/atom): 28.93

Cell and atoms, written as Quantum ESPRESSO input:
```
&SYSTEM
  ibrav = 0, nat = 5, ntyp = 4
/
ATOMIC_SPECIES
V 50.94 V.upf
I 126.90 I.upf
Br 79.90 Br.upf
O 16.00 O.upf
ATOMIC_POSITIONS crystal
V 0.000 0.000 0.000
I 0.000 0.500 0.500
I 0.500 0.000 0.500
Br 0.500 0.500 0.500
O 0.500 0.500 0.000
CELL_PARAMETERS angstrom
6.024 0.000 0.000
0.000 6.024 0.000
0.000 0.000 3.986
```